Entry i
Entry from Alexandria: crystalline Y2FeC2 at its relaxed geometry (PBE).

```
data_Y2FeC2
_chemical_formula_sum 'Y4 Fe2 C4'
_space_group_name_H-M_alt 'P 1'
_space_group_IT_number 1
_cell_length_a 7.2487
_cell_length_b 7.2487
_cell_length_c 3.0147
_cell_angle_alpha 90.00
_cell_angle_beta 90.00
_cell_angle_gamma 90.00
loop_
_space_group_symop_operation_xyz
'x,y,z'
loop_
_atom_site_label
_atom_site_type_symbol
_atom_site_fract_x
_atom_site_fract_y
_atom_site_fract_z
_atom_site_occupancy
Y1 Y 0.1453 0.3547 0.0000 1
Y2 Y 0.3547 0.8547 0.0000 1
Y3 Y 0.6453 0.1453 0.0000 1
Y4 Y 0.8547 0.6453 0.0000 1
Fe1 Fe 0.0000 0.0000 0.0000 1
Fe2 Fe 0.5000 0.5000 0.0000 1
C1 C 0.1665 0.6665 0.5000 1
C2 C 0.3335 0.1665 0.5000 1
C3 C 0.6665 0.8335 0.5000 1
C4 C 0.8335 0.3335 0.5000 1
```

Results
Total magnetization = 5.96 μB per cell
Crystal system = tetragonal

Entry ii
Entry from Alexandria: crystalline Y2FeC2 at its relaxed geometry (PBE).

```
data_Y2FeC2
_chemical_formula_sum 'Y4 Fe2 C4'
_space_group_name_H-M_alt 'P 1'
_space_group_IT_number 1
_cell_length_a 6.0125
_cell_length_b 6.0125
_cell_length_c 6.7064
_cell_angle_alpha 118.37
_cell_angle_beta 118.37
_cell_angle_gamma 49.56
loop_
_space_group_symop_operation_xyz
'x,y,z'
loop_
_atom_site_label
_atom_site_type_symbol
_atom_site_fract_x
_atom_site_fract_y
_atom_site_fract_z
_atom_site_occupancy
Y1 Y 0.0416 0.0416 0.2831 1
Y2 Y 0.3181 0.3181 0.8896 1
Y3 Y 0.6819 0.6819 0.1104 1
Y4 Y 0.9584 0.9584 0.7169 1
Fe1 Fe 0.3714 0.3714 0.3687 1
Fe2 Fe 0.6286 0.6286 0.6313 1
C1 C 0.1851 0.1851 0.1098 1
C2 C 0.4836 0.4836 0.6986 1
C3 C 0.5164 0.5164 0.3014 1
C4 C 0.8149 0.8149 0.8902 1
```

Results
Total magnetization = 1.22 μB per cell
Crystal system = monoclinic

entry ii is favored, and the nearest alternative lies 115.6 kJ/mol of atoms above it.

Entry i
Entry from Alexandria: crystalline ZrFeC3 at its relaxed geometry (PBE).

```
data_ZrFeC3
_chemical_formula_sum 'Zr1 Fe1 C3'
_space_group_name_H-M_alt 'P 1'
_space_group_IT_number 1
_cell_length_a 4.2368
_cell_length_b 4.2368
_cell_length_c 4.2368
_cell_angle_alpha 90.00
_cell_angle_beta 90.00
_cell_angle_gamma 90.00
loop_
_space_group_symop_operation_xyz
'x,y,z'
loop_
_atom_site_label
_atom_site_type_symbol
_atom_site_fract_x
_atom_site_fract_y
_atom_site_fract_z
_atom_site_occupancy
Zr1 Zr 0.0000 0.0000 0.0000 1
Fe1 Fe 0.5000 0.5000 0.5000 1
C1 C 0.0000 0.0000 0.5000 1
C2 C 0.0000 0.5000 0.0000 1
C3 C 0.5000 0.0000 0.0000 1
```

Results
Total magnetization = 0.08 μB per cell
Crystal system = cubic

Entry ii
Entry from Alexandria: crystalline ZrFeC3 at its relaxed geometry (PBE).

```
data_ZrFeC3
_chemical_formula_sum 'Zr1 Fe1 C3'
_space_group_name_H-M_alt 'P 1'
_space_group_IT_number 1
_cell_length_a 3.7398
_cell_length_b 3.7398
_cell_length_c 3.7398
_cell_angle_alpha 90.00
_cell_angle_beta 90.00
_cell_angle_gamma 90.00
loop_
_space_group_symop_operation_xyz
'x,y,z'
loop_
_atom_site_label
_atom_site_type_symbol
_atom_site_fract_x
_atom_site_fract_y
_atom_site_fract_z
_atom_site_occupancy
Zr1 Zr 0.0000 0.0000 0.0000 1
Fe1 Fe 0.5000 0.5000 0.5000 1
C1 C 0.0000 0.5000 0.5000 1
C2 C 0.5000 0.0000 0.5000 1
C3 C 0.5000 0.5000 0.0000 1
```

Results
Total magnetization = 0.00 μB per cell
Crystal system = cubic

entry ii is favored, and the nearest alternative lies 149.2 kJ/mol of atoms above it.

Entry i
Entry from Alexandria: crystalline GaGeC at its relaxed geometry (PBE).

```
data_GaGeC
_chemical_formula_sum 'Ga1 Ge1 C1'
_space_group_name_H-M_alt 'P 1'
_space_group_IT_number 1
_cell_length_a 3.1281
_cell_length_b 3.2726
_cell_length_c 4.7499
_cell_angle_alpha 81.92
_cell_angle_beta 88.63
_cell_angle_gamma 61.63
loop_
_space_group_symop_operation_xyz
'x,y,z'
loop_
_atom_site_label
_atom_site_type_symbol
_atom_site_fract_x
_atom_site_fract_y
_atom_site_fract_z
_atom_site_occupancy
Ga1 Ga 0.0000 0.0000 0.0000 1
Ge1 Ge 0.7397 0.5785 0.4751 1
C1 C 0.4336 0.1721 0.6665 1
```

Results
Total magnetization = 0.00 μB per cell
Crystal system = triclinic

Entry ii
Entry from Alexandria: crystalline GaGeC at its relaxed geometry (PBE).

```
data_GaGeC
_chemical_formula_sum 'Ga1 Ge1 C1'
_space_group_name_H-M_alt 'P 1'
_space_group_IT_number 1
_cell_length_a 5.4978
_cell_length_b 5.4978
_cell_length_c 5.4978
_cell_angle_alpha 33.99
_cell_angle_beta 33.99
_cell_angle_gamma 33.99
loop_
_space_group_symop_operation_xyz
'x,y,z'
loop_
_atom_site_label
_atom_site_type_symbol
_atom_site_fract_x
_atom_site_fract_y
_atom_site_fract_z
_atom_site_occupancy
Ga1 Ga 0.0000 0.0000 0.0000 1
Ge1 Ge 0.1625 0.1625 0.1625 1
C1 C 0.8698 0.8698 0.8698 1
```

Results
Total magnetization = 0.00 μB per cell
Crystal system = trigonal

Entry iii
Entry from Alexandria: crystalline GaGeC at its relaxed geometry (PBE).

```
data_GaGeC
_chemical_formula_sum 'Ga1 Ge1 C1'
_space_group_name_H-M_alt 'P 1'
_space_group_IT_number 1
_cell_length_a 5.2347
_cell_length_b 5.2347
_cell_length_c 3.2244
_cell_angle_alpha 107.27
_cell_angle_beta 107.27
_cell_angle_gamma 37.04
loop_
_space_group_symop_operation_xyz
'x,y,z'
loop_
_atom_site_label
_atom_site_type_symbol
_atom_site_fract_x
_atom_site_fract_y
_atom_site_fract_z
_atom_site_occupancy
Ga1 Ga 0.0000 0.0000 0.0000 1
Ge1 Ge 0.7349 0.7349 0.7306 1
C1 C 0.6158 0.6158 0.1162 1
```

Results
Total magnetization = 0.00 μB per cell
Crystal system = monoclinic

Entry iv
Entry from Alexandria: crystalline GaGeC at its relaxed geometry (PBE).

```
data_GaGeC
_chemical_formula_sum 'Ga1 Ge1 C1'
_space_group_name_H-M_alt 'P 1'
_space_group_IT_number 1
_cell_length_a 3.2055
_cell_length_b 4.2301
_cell_length_c 3.3751
_cell_angle_alpha 90.00
_cell_angle_beta 106.67
_cell_angle_gamma 90.00
loop_
_space_group_symop_operation_xyz
'x,y,z'
loop_
_atom_site_label
_atom_site_type_symbol
_atom_site_fract_x
_atom_site_fract_y
_atom_site_fract_z
_atom_site_occupancy
Ga1 Ga 0.0000 0.0000 0.0000 1
Ge1 Ge 0.5000 0.5529 0.5000 1
C1 C 0.0000 0.2742 0.5000 1
```

Results
Total magnetization = 0.00 μB per cell
Crystal system = monoclinic

entry ii is favored, and the nearest alternative lies 10.1 kJ/mol of atoms above it.

Entry i
Entry from Alexandria: crystalline GaGe2C at its relaxed geometry (PBE).

```
data_GaGe2C
_chemical_formula_sum 'Ga2 Ge4 C2'
_space_group_name_H-M_alt 'P 1'
_space_group_IT_number 1
_cell_length_a 6.2219
_cell_length_b 6.2219
_cell_length_c 6.2219
_cell_angle_alpha 129.49
_cell_angle_beta 129.49
_cell_angle_gamma 74.22
loop_
_space_group_symop_operation_xyz
'x,y,z'
loop_
_atom_site_label
_atom_site_type_symbol
_atom_site_fract_x
_atom_site_fract_y
_atom_site_fract_z
_atom_site_occupancy
Ga1 Ga 0.0000 0.0000 0.0000 1
Ga2 Ga 0.7500 0.2500 0.5000 1
Ge1 Ge 0.1949 0.6250 0.0699 1
Ge2 Ge 0.3750 0.4449 0.5699 1
Ge3 Ge 0.5551 0.1250 0.9301 1
Ge4 Ge 0.8750 0.8051 0.4301 1
C1 C 0.2500 0.7500 0.5000 1
C2 C 0.5000 0.5000 0.0000 1
```

Results
Total magnetization = 0.00 μB per cell
Crystal system = tetragonal

Entry ii
Entry from Alexandria: crystalline GaGe2C at its relaxed geometry (PBE).

```
data_GaGe2C
_chemical_formula_sum 'Ga1 Ge2 C1'
_space_group_name_H-M_alt 'P 1'
_space_group_IT_number 1
_cell_length_a 4.4749
_cell_length_b 4.4749
_cell_length_c 4.4749
_cell_angle_alpha 60.00
_cell_angle_beta 60.00
_cell_angle_gamma 60.00
loop_
_space_group_symop_operation_xyz
'x,y,z'
loop_
_atom_site_label
_atom_site_type_symbol
_atom_site_fract_x
_atom_site_fract_y
_atom_site_fract_z
_atom_site_occupancy
Ga1 Ga 0.0000 0.0000 0.0000 1
Ge1 Ge 0.2500 0.2500 0.2500 1
Ge2 Ge 0.7500 0.7500 0.7500 1
C1 C 0.5000 0.5000 0.5000 1
```

Results
Total magnetization = 0.00 μB per cell
Crystal system = cubic

entry i is favored, and the nearest alternative lies 82.5 kJ/mol of atoms above it.

Entry i
Entry from Alexandria: crystalline GaHCO at its relaxed geometry (PBE).

```
data_GaHCO
_chemical_formula_sum 'Ga1 H1 C1 O1'
_space_group_name_H-M_alt 'P 1'
_space_group_IT_number 1
_cell_length_a 3.2406
_cell_length_b 3.6651
_cell_length_c 4.3851
_cell_angle_alpha 90.00
_cell_angle_beta 90.00
_cell_angle_gamma 90.00
loop_
_space_group_symop_operation_xyz
'x,y,z'
loop_
_atom_site_label
_atom_site_type_symbol
_atom_site_fract_x
_atom_site_fract_y
_atom_site_fract_z
_atom_site_occupancy
Ga1 Ga 0.0000 0.0000 0.0000 1
H1 H 0.5000 0.0000 0.1604 1
C1 C 0.0000 0.5000 0.7487 1
O1 O 0.0000 0.5000 0.4702 1
```

Results
Total magnetization = 0.00 μB per cell
Crystal system = orthorhombic

Entry ii
Entry from Alexandria: crystalline GaHCO at its relaxed geometry (PBE).

```
data_GaHCO
_chemical_formula_sum 'Ga1 H1 C1 O1'
_space_group_name_H-M_alt 'P 1'
_space_group_IT_number 1
_cell_length_a 3.3861
_cell_length_b 3.4270
_cell_length_c 4.3843
_cell_angle_alpha 70.26
_cell_angle_beta 71.01
_cell_angle_gamma 61.65
loop_
_space_group_symop_operation_xyz
'x,y,z'
loop_
_atom_site_label
_atom_site_type_symbol
_atom_site_fract_x
_atom_site_fract_y
_atom_site_fract_z
_atom_site_occupancy
Ga1 Ga 0.0000 0.0000 0.0000 1
H1 H 0.5440 0.6357 0.4918 1
C1 C 0.6994 0.6858 0.8934 1
O1 O 0.6911 0.8086 0.5159 1
```

Results
Total magnetization = 0.00 μB per cell
Crystal system = triclinic

Entry iii
Entry from Alexandria: crystalline GaHCO at its relaxed geometry (PBE).

```
data_GaHCO
_chemical_formula_sum 'Ga1 H1 C1 O1'
_space_group_name_H-M_alt 'P 1'
_space_group_IT_number 1
_cell_length_a 2.7118
_cell_length_b 4.0765
_cell_length_c 5.7320
_cell_angle_alpha 70.98
_cell_angle_beta 87.89
_cell_angle_gamma 86.99
loop_
_space_group_symop_operation_xyz
'x,y,z'
loop_
_atom_site_label
_atom_site_type_symbol
_atom_site_fract_x
_atom_site_fract_y
_atom_site_fract_z
_atom_site_occupancy
Ga1 Ga 0.0000 0.0000 0.0000 1
H1 H 0.2259 0.4362 0.5453 1
C1 C 0.1132 0.4657 0.7278 1
O1 O 0.1034 0.7736 0.7294 1
```

Results
Total magnetization = 0.00 μB per cell
Crystal system = triclinic

Entry iv
Entry from Alexandria: crystalline GaHCO at its relaxed geometry (PBE).

```
data_GaHCO
_chemical_formula_sum 'Ga1 H1 C1 O1'
_space_group_name_H-M_alt 'P 1'
_space_group_IT_number 1
_cell_length_a 4.2571
_cell_length_b 4.2571
_cell_length_c 3.3103
_cell_angle_alpha 112.59
_cell_angle_beta 112.59
_cell_angle_gamma 49.12
loop_
_space_group_symop_operation_xyz
'x,y,z'
loop_
_atom_site_label
_atom_site_type_symbol
_atom_site_fract_x
_atom_site_fract_y
_atom_site_fract_z
_atom_site_occupancy
Ga1 Ga 0.0000 0.0000 0.0000 1
H1 H 0.3776 0.3776 0.3083 1
C1 C 0.3687 0.3687 0.9667 1
O1 O 0.1630 0.1630 0.6698 1
```

Results
Total magnetization = 0.00 μB per cell
Crystal system = monoclinic

entry iv is favored, and the nearest alternative lies 17.8 kJ/mol of atoms above it.